Computed, not measured: Li11Mg4 after structural relaxation at the PBE level of DFT.

## Properties
The value obtained for the total magnetization is 0.0 Bohr magnetons per cell. Its total energy is -1.8299 eV/atom. The formation energy from the elements is 0.0 eV/f.u. The calculation puts the calculated volume at 20.4 Å³/atom.

a = 10.6280 Å, b = 10.6280 Å, c = 5.4197 Å
α = 90.00°, β = 90.00°, γ = 90.00°
With the nearest neighbours (Å) after each atom.
Space group P4_2/mnm (No. 136)
Inequivalent atoms, fractional coordinates:
1 Li 0.0000 0.0000 0.0000 x2  12 Li 2.83-3.13
2 Li 0.0609 0.2589 0.0000 x8  6 Li 2.83-3.07, 4 Mg 2.94-3.04
3 Li 0.0961 0.0961 0.5000 x4  3 Li 2.89-3.07, 2 Mg 2.91
4 Li 0.1876 0.8124 0.2518 x8  2 Li 2.69-2.73
5 Mg 0.0350 0.3628 0.5000 x8  5 Li 2.91-3.04, 1 Mg 3.01